Density functional theory data (GGA-PBE) for a geometry-optimized RbLiTbF5 structure.

* formation energy without anion corrections: -3.49 eV/atom
* DFT total energy: -5.603 eV/atom
* space group: No. 15

```
data_RbLiTbF5
_cell_length_a 6.3414
_cell_length_b 6.3414
_cell_length_c 8.3910
_cell_angle_alpha 103.66
_cell_angle_beta 103.66
_cell_angle_gamma 107.04
_space_group_name_H-M_alt 'P 1'
_space_group_IT_number 1
_space_group_name_Hall 'P 1'
loop_
_atom_site_label
_atom_site_type_symbol
_atom_site_fract_x
_atom_site_fract_y
_atom_site_fract_z
Rb1 Rb 0.1614 0.8386 0.7500
Rb2 Rb 0.8386 0.1614 0.2500
Li1 Li 0.1866 0.8134 0.2500
Li2 Li 0.8134 0.1866 0.7500
Tb1 Tb 0.5000 0.5000 0.0000
Tb2 Tb 0.5000 0.5000 0.5000
F1 F 0.1307 0.2652 0.9001
F2 F 0.2133 0.6083 0.3899
F3 F 0.2652 0.1307 0.4001
F4 F 0.3917 0.7867 0.1101
F5 F 0.4319 0.5681 0.7500
F6 F 0.5681 0.4319 0.2500
F7 F 0.6083 0.2133 0.8899
F8 F 0.7348 0.8693 0.5999
F9 F 0.7867 0.3917 0.6101
F10 F 0.8693 0.7348 0.0999
```